# CaAsIr, optimized geometry, DFT PBE
# Calculated density = 7.85 g cm⁻³
# Total energy = -5.88 eV/atom
# Magnetic moment = 0.00 μB per cell
# D(E_F) = 6.987 states/eV per cell
data_CaAsIr
_chemical_formula_sum 'Ca4 As4 Ir4'
_cell_length_a 7.445
_cell_length_b 8.920
_cell_length_c 4.363
_cell_angle_alpha 90.00
_cell_angle_beta 116.21
_cell_angle_gamma 90.00
_space_group_name_H-M_alt 'C 1 m 1'
_space_group_IT_number 8
loop_
_space_group_symop_operation_xyz
'x,y,z'
'x,-y,z'
'x+1/2,y+1/2,z'
'x+1/2,-y+1/2,z'
loop_
_atom_site_label
_atom_site_type_symbol
_atom_site_fract_x
_atom_site_fract_y
_atom_site_fract_z
_atom_site_occupancy
Ca1 Ca 0.000 0.229 0.000 1
As1 As 0.344 0.000 0.267 1
As2 As 0.345 0.500 0.398 1
Ir1 Ir 0.152 0.500 0.760 1
Ir2 Ir 0.215 0.000 0.668 1


# HfTcF2, optimized geometry, DFT PBE
# Calculated density = 9.28 g cm⁻³
# Magnetic moment = 4.20 μB per cell
# D(E_F) = 6.167 states/eV per cell
# Energy above the most stable polymorph in this dataset = 0.18 eV per formula unit
# Formation energy from raw total energies = -1117.1 meV/atom
data_HfTcF2
_chemical_formula_sum 'Hf4 Tc4 F8'
_cell_length_a 3.824
_cell_length_b 3.824
_cell_length_c 15.390
_cell_angle_alpha 90.00
_cell_angle_beta 90.00
_cell_angle_gamma 90.00
_space_group_name_H-M_alt 'I -4 2 d'
_space_group_IT_number 122
_space_group_name_Hall 'I -4 2bw'
loop_
_atom_site_label
_atom_site_type_symbol
_atom_site_fract_x
_atom_site_fract_y
_atom_site_fract_z
_atom_site_occupancy
Hf1 Hf 0.000 0.000 0.000 1
Tc1 Tc 0.000 0.000 0.500 1
F1 F 0.221 0.250 0.125 1


# Ta2BeCl2, optimized geometry, DFT PBE
# Calculated density = 9.16 g cm⁻³
# Magnetic moment = 0.00 μB per cell
# D(E_F) = 2.495 states/eV per cell
# Energy above the most stable polymorph in this dataset = 1.00 eV per formula unit
# Formation energy from raw total energies = 729.0 meV/atom
data_Ta2BeCl2
_chemical_formula_sum 'Ta4 Be2 Cl4'
_cell_length_a 7.418
_cell_length_b 7.418
_cell_length_c 2.910
_cell_angle_alpha 90.00
_cell_angle_beta 90.00
_cell_angle_gamma 90.00
_space_group_name_H-M_alt 'P 4/m b m'
_space_group_IT_number 127
_space_group_name_Hall '-P 4 2ab'
loop_
_atom_site_label
_atom_site_type_symbol
_atom_site_fract_x
_atom_site_fract_y
_atom_site_fract_z
_atom_site_occupancy
Ta1 Ta 0.177 0.323 0.000 1
Be1 Be 0.000 0.000 0.000 1
Cl1 Cl 0.130 0.630 0.500 1


# BaAl2Ag, optimized geometry, DFT PBE
# Calculated density = 4.52 g cm⁻³
# Total energy = -3.26 eV/atom
# Magnetic moment = 0.00 μB per cell
# D(E_F) = 7.240 states/eV per cell
data_BaAl2Ag
_chemical_formula_sum 'Ba3 Al6 Ag3'
_cell_length_a 4.5352
_cell_length_b 4.5352
_cell_length_c 18.5171
_cell_angle_alpha 90.00
_cell_angle_beta 90.00
_cell_angle_gamma 120.00
_space_group_name_H-M_alt 'R 3 m'
_space_group_IT_number 160
_space_group_name_Hall 'R 3 -2"'
loop_
_atom_site_label
_atom_site_type_symbol
_atom_site_fract_x
_atom_site_fract_y
_atom_site_fract_z
_atom_site_occupancy
Ba1 Ba 0.0000 0.0000 0.0000 1
Al1 Al 0.0000 0.0000 0.5237 1
Al2 Al 0.0000 0.0000 0.7981 1
Ag1 Ag 0.0000 0.0000 0.1871 1


# TaMnReMo2, optimized geometry, DFT PBE
# Calculated density = 9.58 g cm⁻³
# Total energy = -9.03 eV/atom
# Magnetic moment = 0.30 μB per cell
# D(E_F) = 8.195 states/eV per cell
data_TaMnReMo2
_chemical_formula_sum 'Ta1 Mn1 Re1 Mo2'
_cell_length_a 4.701
_cell_length_b 4.701
_cell_length_c 4.814
_cell_angle_alpha 90.00
_cell_angle_beta 90.00
_cell_angle_gamma 90.00
_space_group_name_H-M_alt 'P 4/m m m'
_space_group_IT_number 123
_space_group_name_Hall '-P 4 2'
loop_
_atom_site_label
_atom_site_type_symbol
_atom_site_fract_x
_atom_site_fract_y
_atom_site_fract_z
_atom_site_occupancy
Ta1 Ta 0.000 0.000 0.000 1
Mn1 Mn 0.500 0.500 0.000 1
Re1 Re 0.000 0.000 0.500 1
Mo1 Mo 0.000 0.500 0.500 1


# SrCaCl2, optimized geometry, DFT PBE
# Calculated density = 2.42 g cm⁻³
# Magnetic moment = 1.25 μB per cell
# D(E_F) = 4.598 states/eV per cell
# Energy above the most stable polymorph in this dataset = 0.74 eV per formula unit
# Formation energy from raw total energies = -1503.1 meV/atom
data_SrCaCl2
_chemical_formula_sum 'Sr2 Ca2 Cl4'
_cell_length_a 3.825
_cell_length_b 7.790
_cell_length_c 9.154
_cell_angle_alpha 90.00
_cell_angle_beta 90.00
_cell_angle_gamma 90.00
_space_group_name_H-M_alt 'C m m m'
_space_group_IT_number 65
_space_group_name_Hall '-C 2 2'
loop_
_atom_site_label
_atom_site_type_symbol
_atom_site_fract_x
_atom_site_fract_y
_atom_site_fract_z
_atom_site_occupancy
Sr1 Sr 0.000 0.000 0.000 1
Ca1 Ca 0.000 0.000 0.500 1
Cl1 Cl 0.000 0.500 0.280 1